A crystal of Cs3Ho2Br9 relaxed with PBEsol, computed with SCAN.

Summary:
The value obtained for the energy relative to the elements, uncorrected is -2.114 eV per atom. The space-group type is No. 167.

Lattice parameters (Å, degrees): 10.0602 10.0602 10.0602 83.85 83.85 83.85
With the nearest neighbours (Å) after each atom.
Sites, in units of the cell vectors:
Cs  0.0882  0.7500  0.4118  12 Br 3.81-3.95
Cs  0.2500  0.5882  0.9118  12 Br 3.81-3.95
Cs  0.4118  0.0882  0.7500  12 Br 3.81-3.95
Cs  0.5882  0.9118  0.2500  12 Br 3.81-3.95
Cs  0.7500  0.4118  0.0882  12 Br 3.81-3.95
Cs  0.9118  0.2500  0.5882  12 Br 3.81-3.95
Ho  0.1506  0.1506  0.1506  6 Br 2.67-2.86
Ho  0.3494  0.3494  0.3494  6 Br 2.67-2.86
Ho  0.6506  0.6506  0.6506  6 Br 2.67-2.86
Ho  0.8494  0.8494  0.8494  6 Br 2.67-2.86
Br  0.0803  0.2661  0.9133  1 Ho 2.67
Br  0.0867  0.9197  0.7339  1 Ho 2.67
Br  0.0918  0.4082  0.2500  2 Ho 2.86
Br  0.2339  0.4197  0.5867  1 Ho 2.67
Br  0.2500  0.0918  0.4082  2 Ho 2.86
Br  0.2661  0.9133  0.0803  1 Ho 2.67
Br  0.4082  0.2500  0.0918  2 Ho 2.86
Br  0.4133  0.7661  0.5803  1 Ho 2.67
Br  0.4197  0.5867  0.2339  1 Ho 2.67
Br  0.5803  0.4133  0.7661  1 Ho 2.67
Br  0.5867  0.2339  0.4197  1 Ho 2.67
Br  0.5918  0.7500  0.9082  2 Ho 2.86
Br  0.7339  0.0867  0.9197  1 Ho 2.67
Br  0.7500  0.9082  0.5918  2 Ho 2.86
Br  0.7661  0.5803  0.4133  1 Ho 2.67
Br  0.9082  0.5918  0.7500  2 Ho 2.86
Br  0.9133  0.0803  0.2661  1 Ho 2.67
Br  0.9197  0.7339  0.0867  1 Ho 2.67

A crystal of CsHoNb6Br18 relaxed with PBEsol, computed with SCAN.

Summary:
The value obtained for the energy relative to the elements, uncorrected is -1.267 eV per atom. The space-group type is No. 163.

Lattice parameters (Å, degrees): 9.6631 9.6631 18.0169 90.00 90.00 120.00
With the nearest neighbours (Å) after each atom.
Sites, in units of the cell vectors:
Cs  0.3333  0.6667  0.2500  12 Br 3.93-4.01
Cs  0.6667  0.3333  0.7500  12 Br 3.93-4.01
Ho  0.3333  0.6667  0.7500  6 Br 2.78
Ho  0.6667  0.3333  0.2500  6 Br 2.78
Nb  0.0381  0.1911  0.5663  5 Br 2.58-2.88
Nb  0.0381  0.8471  0.9337  5 Br 2.58-2.88
Nb  0.1529  0.1911  0.9337  5 Br 2.58-2.88
Nb  0.1529  0.9619  0.5663  5 Br 2.58-2.88
Nb  0.1911  0.0381  0.0663  5 Br 2.58-2.88
Nb  0.1911  0.1529  0.4337  5 Br 2.58-2.88
Nb  0.8089  0.8471  0.5663  5 Br 2.58-2.88
Nb  0.8089  0.9619  0.9337  5 Br 2.58-2.88
Nb  0.8471  0.0381  0.4337  5 Br 2.58-2.88
Nb  0.8471  0.8089  0.0663  5 Br 2.58-2.88
Nb  0.9619  0.1529  0.0663  5 Br 2.58-2.88
Nb  0.9619  0.8089  0.4337  5 Br 2.58-2.88
Br  0.0454  0.2348  0.3377  2 Nb 2.58-2.59
Br  0.0454  0.8106  0.1623  2 Nb 2.58-2.59
Br  0.0823  0.4491  0.6617  1 Ho 2.78, 1 Nb 2.88
Br  0.0823  0.6332  0.8383  1 Ho 2.78, 1 Nb 2.88
Br  0.1426  0.4224  0.0005  2 Nb 2.59
Br  0.1426  0.7201  0.4995  2 Nb 2.59
Br  0.1894  0.2348  0.1623  2 Nb 2.58-2.59
Br  0.1894  0.9546  0.3377  2 Nb 2.58-2.59
Br  0.2348  0.0454  0.8377  2 Nb 2.58-2.59
Br  0.2348  0.1894  0.6623  2 Nb 2.58-2.59
Br  0.2799  0.4224  0.4995  2 Nb 2.59
Br  0.2799  0.8574  0.0005  2 Nb 2.59
Br  0.3668  0.4491  0.8383  1 Ho 2.78, 1 Nb 2.88
Br  0.3668  0.9177  0.6617  1 Ho 2.78, 1 Nb 2.88
Br  0.4224  0.1426  0.5005  2 Nb 2.59
Br  0.4224  0.2799  0.9995  2 Nb 2.59
Br  0.4491  0.0823  0.1617  1 Ho 2.78, 1 Nb 2.88
Br  0.4491  0.3668  0.3383  1 Ho 2.78, 1 Nb 2.88
Br  0.5509  0.6332  0.6617  1 Ho 2.78, 1 Nb 2.88
Br  0.5509  0.9177  0.8383  1 Ho 2.78, 1 Nb 2.88
Br  0.5776  0.7201  0.0005  2 Nb 2.59
Br  0.5776  0.8574  0.4995  2 Nb 2.59
Br  0.6332  0.0823  0.3383  1 Ho 2.78, 1 Nb 2.88
Br  0.6332  0.5509  0.1617  1 Ho 2.78, 1 Nb 2.88
Br  0.7201  0.1426  0.9995  2 Nb 2.59
Br  0.7201  0.5776  0.5005  2 Nb 2.59
Br  0.7652  0.8106  0.3377  2 Nb 2.58-2.59
Br  0.7652  0.9546  0.1623  2 Nb 2.58-2.59
Br  0.8106  0.0454  0.6623  2 Nb 2.58-2.59
Br  0.8106  0.7652  0.8377  2 Nb 2.58-2.59
Br  0.8574  0.2799  0.5005  2 Nb 2.59
Br  0.8574  0.5776  0.9995  2 Nb 2.59
Br  0.9177  0.3668  0.1617  1 Ho 2.78, 1 Nb 2.88
Br  0.9177  0.5509  0.3383  1 Ho 2.78, 1 Nb 2.88
Br  0.9546  0.1894  0.8377  2 Nb 2.58-2.59
Br  0.9546  0.7652  0.6623  2 Nb 2.58-2.59

A crystal of CsIBr2 relaxed with PBEsol, computed with SCAN.

Summary:
The value obtained for the energy relative to the elements, uncorrected is -0.751 eV per atom. The space-group type is No. 122.

Lattice parameters (Å, degrees): 6.0443 6.0443 19.9425 90.00 90.00 90.00
With the nearest neighbours (Å) after each atom.
Sites, in units of the cell vectors:
Cs  0.0000  0.0000  0.0000  4 Br 3.59
Cs  0.0000  0.5000  0.2500  4 Br 3.59
Cs  0.5000  0.0000  0.7500  4 Br 3.59
Cs  0.5000  0.5000  0.5000  4 Br 3.59
I  0.0000  0.0000  0.5000  4 Br 3.06
I  0.0000  0.5000  0.7500  4 Br 3.06
I  0.5000  0.0000  0.2500  4 Br 3.06
I  0.5000  0.5000  0.0000  4 Br 3.06
Br  0.1543  0.2500  0.6250  2 I 3.06
Br  0.2500  0.6543  0.8750  2 I 3.06
Br  0.2500  0.8457  0.3750  2 I 3.06
Br  0.3457  0.2500  0.1250  2 I 3.06
Br  0.6543  0.7500  0.1250  2 I 3.06
Br  0.7500  0.1543  0.3750  2 I 3.06
Br  0.7500  0.3457  0.8750  2 I 3.06
Br  0.8457  0.7500  0.6250  2 I 3.06

A crystal of CsIBr3 relaxed with PBEsol, computed with SCAN.

Summary:
The value obtained for the energy relative to the elements, uncorrected is -0.752 eV per atom. The space-group type is No. 221.

Lattice parameters (Å, degrees): 5.8449 5.8449 5.8449 90.00 90.00 90.00
With the nearest neighbours (Å) after each atom.
Sites, in units of the cell vectors:
Cs  0.0000  0.0000  0.0000  12 Br 4.13
I  0.5000  0.5000  0.5000  6 Br 2.92
Br  0.0000  0.5000  0.5000  2 I 2.92
Br  0.5000  0.0000  0.5000  2 I 2.92
Br  0.5000  0.5000  0.0000  2 I 2.92

A crystal of CsInBr2 relaxed with PBEsol, computed with SCAN.

Summary:
The value obtained for the energy relative to the elements, uncorrected is -1.284 eV per atom. The space-group type is No. 225. As for the energy above the most stable polymorph in this dataset: 0 meV per atom.

Lattice parameters (Å, degrees): 8.1243 8.1243 8.1243 90.00 90.00 90.00
With the nearest neighbours (Å) after each atom.
Sites, in units of the cell vectors:
Cs  0.0000  0.0000  0.0000  8 Br 3.52
Cs  0.0000  0.5000  0.5000  8 Br 3.52
Cs  0.5000  0.0000  0.5000  8 Br 3.52
Cs  0.5000  0.5000  0.0000  8 Br 3.52
In  0.0000  0.0000  0.5000  8 Br 3.52
In  0.0000  0.5000  0.0000  8 Br 3.52
In  0.5000  0.0000  0.0000  8 Br 3.52
In  0.5000  0.5000  0.5000  8 Br 3.52
Br  0.2500  0.2500  0.2500  4 In 3.52, 4 Cs 3.52
Br  0.2500  0.2500  0.7500  4 In 3.52, 4 Cs 3.52
Br  0.2500  0.7500  0.2500  4 In 3.52, 4 Cs 3.52
Br  0.2500  0.7500  0.7500  4 In 3.52, 4 Cs 3.52
Br  0.7500  0.2500  0.2500  4 In 3.52, 4 Cs 3.52
Br  0.7500  0.2500  0.7500  4 In 3.52, 4 Cs 3.52
Br  0.7500  0.7500  0.2500  4 In 3.52, 4 Cs 3.52
Br  0.7500  0.7500  0.7500  4 In 3.52, 4 Cs 3.52

A crystal of CsInBr2 relaxed with PBEsol, computed with SCAN.

Summary:
The value obtained for the energy relative to the elements, uncorrected is -1.184 eV per atom. The space-group type is No. 122. As for the energy above the most stable polymorph in this dataset: 99 meV per atom.

Lattice parameters (Å, degrees): 7.3206 7.3206 16.2144 90.00 90.00 90.00
With the nearest neighbours (Å) after each atom.
Sites, in units of the cell vectors:
Cs  0.0000  0.0000  0.0000  4 Br 3.48
Cs  0.0000  0.5000  0.2500  4 Br 3.48
Cs  0.5000  0.0000  0.7500  4 Br 3.48
Cs  0.5000  0.5000  0.5000  4 Br 3.48
In  0.0000  0.0000  0.5000  4 Br 3.12
In  0.0000  0.5000  0.7500  4 Br 3.12
In  0.5000  0.0000  0.2500  4 Br 3.12
In  0.5000  0.5000  0.0000  4 Br 3.12
Br  0.2055  0.2500  0.6250  2 In 3.12, 2 Cs 3.48
Br  0.2500  0.7055  0.8750  2 In 3.12, 2 Cs 3.48
Br  0.2500  0.7945  0.3750  2 In 3.12, 2 Cs 3.48
Br  0.2945  0.2500  0.1250  2 In 3.12, 2 Cs 3.48
Br  0.7055  0.7500  0.1250  2 In 3.12, 2 Cs 3.48
Br  0.7500  0.2055  0.3750  2 In 3.12, 2 Cs 3.48
Br  0.7500  0.2945  0.8750  2 In 3.12, 2 Cs 3.48
Br  0.7945  0.7500  0.6250  2 In 3.12, 2 Cs 3.48

A crystal of Cs2TlInBr6 relaxed with PBEsol, computed with SCAN.

Summary:
The value obtained for the energy relative to the elements, uncorrected is -1.391 eV per atom. The space-group type is No. 225.

Lattice parameters (Å, degrees): 8.1035 8.1035 8.1035 60.00 60.00 60.00
With the nearest neighbours (Å) after each atom.
Sites, in units of the cell vectors:
Cs  0.2500  0.2500  0.2500  12 Br 4.06
Cs  0.7500  0.7500  0.7500  12 Br 4.06
Tl  0.0000  0.0000  0.0000  6 Br 3.06
In  0.5000  0.5000  0.5000  6 Br 2.67
Br  0.2666  0.2666  0.7334  1 In 2.67
Br  0.2666  0.7334  0.2666  1 In 2.67
Br  0.2666  0.7334  0.7334  1 In 2.67
Br  0.7334  0.2666  0.2666  1 In 2.67
Br  0.7334  0.2666  0.7334  1 In 2.67
Br  0.7334  0.7334  0.2666  1 In 2.67

A crystal of Cs2IrBr relaxed with PBEsol, computed with SCAN.

Summary:
The value obtained for the energy relative to the elements, uncorrected is -0.010 eV per atom. The space-group type is No. 225.

Lattice parameters (Å, degrees): 8.5026 8.5026 8.5026 90.00 90.00 90.00
With the nearest neighbours (Å) after each atom.
Sites, in units of the cell vectors:
Cs  0.2500  0.2500  0.2500  4 Br 3.68, 4 Ir 3.68
Cs  0.2500  0.2500  0.7500  4 Br 3.68, 4 Ir 3.68
Cs  0.2500  0.7500  0.2500  4 Br 3.68, 4 Ir 3.68
Cs  0.2500  0.7500  0.7500  4 Br 3.68, 4 Ir 3.68
Cs  0.7500  0.2500  0.2500  4 Br 3.68, 4 Ir 3.68
Cs  0.7500  0.2500  0.7500  4 Br 3.68, 4 Ir 3.68
Cs  0.7500  0.7500  0.2500  4 Br 3.68, 4 Ir 3.68
Cs  0.7500  0.7500  0.7500  4 Br 3.68, 4 Ir 3.68
Ir  0.0000  0.0000  0.0000  8 Cs 3.68
Ir  0.0000  0.5000  0.5000  8 Cs 3.68
Ir  0.5000  0.0000  0.5000  8 Cs 3.68
Ir  0.5000  0.5000  0.0000  8 Cs 3.68
Br  0.0000  0.0000  0.5000  8 Cs 3.68
Br  0.0000  0.5000  0.0000  8 Cs 3.68
Br  0.5000  0.0000  0.0000  8 Cs 3.68
Br  0.5000  0.5000  0.5000  8 Cs 3.68

A crystal of CsIrBr2 relaxed with PBEsol, computed with SCAN.

Summary:
The value obtained for the energy relative to the elements, uncorrected is -0.134 eV per atom. The space-group type is No. 122. As for the energy above the most stable polymorph in this dataset: 0 meV per atom.

Lattice parameters (Å, degrees): 6.3506 6.3506 14.2635 90.00 90.00 90.00
With the nearest neighbours (Å) after each atom.
Sites, in units of the cell vectors:
Cs  0.0000  0.0000  0.0000  4 Br 3.49
Cs  0.0000  0.5000  0.2500  4 Br 3.49
Cs  0.5000  0.0000  0.7500  4 Br 3.49
Cs  0.5000  0.5000  0.5000  4 Br 3.49
Ir  0.0000  0.0000  0.5000  4 Br 2.47
Ir  0.0000  0.5000  0.7500  4 Br 2.47
Ir  0.5000  0.0000  0.2500  4 Br 2.47
Ir  0.5000  0.5000  0.0000  4 Br 2.47
Br  0.1001  0.2500  0.6250  2 Ir 2.47
Br  0.2500  0.6001  0.8750  2 Ir 2.47
Br  0.2500  0.8999  0.3750  2 Ir 2.47
Br  0.3999  0.2500  0.1250  2 Ir 2.47
Br  0.6001  0.7500  0.1250  2 Ir 2.47
Br  0.7500  0.1001  0.3750  2 Ir 2.47
Br  0.7500  0.3999  0.8750  2 Ir 2.47
Br  0.8999  0.7500  0.6250  2 Ir 2.47

A crystal of CsIrBr2 relaxed with PBEsol, computed with SCAN.

Summary:
The value obtained for the energy relative to the elements, uncorrected is 0.215 eV per atom. The space-group type is No. 166. As for the energy above the most stable polymorph in this dataset: 349 meV per atom.

Lattice parameters (Å, degrees): 4.2072 4.2072 26.1815 90.00 90.00 120.00
With the nearest neighbours (Å) after each atom.
Sites, in units of the cell vectors:
Cs  0.0000  0.0000  0.0000  2 Br 3.34
Cs  0.3333  0.6667  0.6667  2 Br 3.34
Cs  0.6667  0.3333  0.3333  2 Br 3.34
Ir  0.0000  0.0000  0.5000  6 Br 2.64
Ir  0.3333  0.6667  0.1667  6 Br 2.64
Ir  0.6667  0.3333  0.8333  6 Br 2.64
Br  0.0000  0.0000  0.1275  3 Ir 2.64
Br  0.0000  0.0000  0.8725  3 Ir 2.64
Br  0.3333  0.6667  0.5392  3 Ir 2.64
Br  0.3333  0.6667  0.7942  3 Ir 2.64
Br  0.6667  0.3333  0.2058  3 Ir 2.64
Br  0.6667  0.3333  0.4608  3 Ir 2.64

A crystal of CsKBr2 relaxed with PBEsol, computed with SCAN.

Summary:
The value obtained for the energy relative to the elements, uncorrected is -1.914 eV per atom. The space-group type is No. 225.

Lattice parameters (Å, degrees): 8.2290 8.2290 8.2290 90.00 90.00 90.00
With the nearest neighbours (Å) after each atom.
Sites, in units of the cell vectors:
Cs  0.0000  0.0000  0.0000  8 Br 3.56
Cs  0.0000  0.5000  0.5000  8 Br 3.56
Cs  0.5000  0.0000  0.5000  8 Br 3.56
Cs  0.5000  0.5000  0.0000  8 Br 3.56
K  0.0000  0.0000  0.5000  8 Br 3.56
K  0.0000  0.5000  0.0000  8 Br 3.56
K  0.5000  0.0000  0.0000  8 Br 3.56
K  0.5000  0.5000  0.5000  8 Br 3.56
Br  0.2500  0.2500  0.2500  4 K 3.56, 4 Cs 3.56
Br  0.2500  0.2500  0.7500  4 K 3.56, 4 Cs 3.56
Br  0.2500  0.7500  0.2500  4 K 3.56, 4 Cs 3.56
Br  0.2500  0.7500  0.7500  4 K 3.56, 4 Cs 3.56
Br  0.7500  0.2500  0.2500  4 K 3.56, 4 Cs 3.56
Br  0.7500  0.2500  0.7500  4 K 3.56, 4 Cs 3.56
Br  0.7500  0.7500  0.2500  4 K 3.56, 4 Cs 3.56
Br  0.7500  0.7500  0.7500  4 K 3.56, 4 Cs 3.56

A crystal of Cs2KNdBr6 relaxed with PBEsol, computed with SCAN.

Summary:
The value obtained for the energy relative to the elements, uncorrected is -2.059 eV per atom. The space-group type is No. 225.

Lattice parameters (Å, degrees): 8.3626 8.3626 8.3626 60.00 60.00 60.00
With the nearest neighbours (Å) after each atom.
Sites, in units of the cell vectors:
Cs  0.2500  0.2500  0.2500  12 Br 4.18
Cs  0.7500  0.7500  0.7500  12 Br 4.18
K  0.0000  0.0000  0.0000  6 Br 3.07
Nd  0.5000  0.5000  0.5000  6 Br 2.84
Br  0.2598  0.2598  0.7402  1 Nd 2.84, 1 K 3.07
Br  0.2598  0.7402  0.2598  1 Nd 2.84, 1 K 3.07
Br  0.2598  0.7402  0.7402  1 Nd 2.84, 1 K 3.07
Br  0.7402  0.2598  0.2598  1 Nd 2.84, 1 K 3.07
Br  0.7402  0.2598  0.7402  1 Nd 2.84, 1 K 3.07
Br  0.7402  0.7402  0.2598  1 Nd 2.84, 1 K 3.07